A plane-wave DFT calculation with GGA-PBE was carried out for an optimized crystal structure of CsHg2Pb4.

Cell: 9.7868 9.7868 5.1386 Å, 90.00 90.00 90.00°
Positions (direct):
1 Cs 0.0000 0.0000 0.0000
2 Cs 0.5000 0.5000 0.5000
3 Hg 0.2113 0.2113 0.5000
4 Hg 0.2887 0.7113 0.0000
5 Hg 0.7113 0.2887 0.0000
6 Hg 0.7887 0.7887 0.5000
7 Pb 0.0857 0.6482 0.5000
8 Pb 0.1482 0.4143 0.0000
9 Pb 0.3518 0.9143 0.5000
10 Pb 0.4143 0.1482 0.0000
11 Pb 0.5857 0.8518 0.0000
12 Pb 0.6482 0.0857 0.5000
13 Pb 0.8518 0.5857 0.0000
14 Pb 0.9143 0.3518 0.5000

Output
E	-33.8	eV/cell
density of states at the Fermi level	7.28	states/eV per cell
ΔE_f	-0.09	eV/atom
energy above the lowest structure with this stoichiometry	0.42	kcal/mol of atoms

---

A plane-wave DFT calculation with GGA-PBE was carried out for an optimized crystal structure of CsHg3Pb.

Cell: 6.1213 6.1213 6.1213 Å, 90.00 90.00 90.00°
Positions (direct):
1 Cs 0.0000 0.0000 0.0000
2 Hg 0.0000 0.5000 0.5000
3 Hg 0.5000 0.0000 0.5000
4 Hg 0.5000 0.5000 0.0000
5 Pb 0.5000 0.5000 0.5000

Output
E	-5.8	eV/cell
density of states at the Fermi level	5.41	states/eV per cell
ΔE_f	-0.07	eV/atom
energy above the lowest structure with this stoichiometry	2.14	kcal/mol of atoms

---

A plane-wave DFT calculation with GGA-PBE was carried out for an optimized crystal structure of CsHg2Pb6.

Cell: 9.2857 9.2857 4.4693 Å, 103.73 103.73 60.06°
Positions (direct):
1 Cs 0.0000 0.0000 0.0000
2 Hg 0.3744 0.3744 0.8737
3 Hg 0.6256 0.6256 0.1263
4 Pb 0.0166 0.3704 0.6944
5 Pb 0.3360 0.6640 0.5000
6 Pb 0.3704 0.0166 0.6944
7 Pb 0.6296 0.9834 0.3056
8 Pb 0.6640 0.3360 0.5000
9 Pb 0.9834 0.6296 0.3056

Output
E	-23.3	eV/cell
density of states at the Fermi level	4.28	states/eV per cell
ΔE_f	0.05	eV/atom
energy above the lowest structure with this stoichiometry	2.74	kcal/mol of atoms

---

A plane-wave DFT calculation with GGA-PBE was carried out for an optimized crystal structure of Cs3HgPb.

Cell: 8.7741 8.7741 9.3732 Å, 116.44 116.44 80.65°
Positions (direct):
1 Cs 0.0542 0.0542 0.2778
2 Cs 0.0859 0.4770 0.7946
3 Cs 0.4770 0.0859 0.7946
4 Cs 0.5230 0.9141 0.2054
5 Cs 0.9141 0.5230 0.2054
6 Cs 0.9458 0.9458 0.7222
7 Hg 0.2890 0.2890 0.1458
8 Hg 0.7110 0.7110 0.8542
9 Pb 0.4277 0.4277 0.5830
10 Pb 0.5723 0.5723 0.4170

Output
E	-14.0	eV/cell
density of states at the Fermi level	8.88	states/eV per cell
ΔE_f	-0.09	eV/atom
energy above the lowest structure with this stoichiometry	0.00	kcal/mol of atoms

---

A plane-wave DFT calculation with GGA-PBE was carried out for an optimized crystal structure of Cs3HgPb.

Cell: 7.5622 7.5622 7.5622 Å, 90.00 90.00 90.00°
Positions (direct):
1 Cs 0.0000 0.0000 0.5000
2 Cs 0.0000 0.5000 0.0000
3 Cs 0.5000 0.0000 0.0000
4 Hg 0.5000 0.5000 0.5000
5 Pb 0.0000 0.0000 0.0000

Output
E	-6.4	eV/cell
density of states at the Fermi level	4.99	states/eV per cell
ΔE_f	0.04	eV/atom
energy above the lowest structure with this stoichiometry	2.78	kcal/mol of atoms

---

A plane-wave DFT calculation with GGA-PBE was carried out for an optimized crystal structure of Cs4HgPb4.

Cell: 10.0177 10.0177 10.0177 Å, 134.84 134.84 65.78°
Positions (direct):
1 Cs 0.2026 0.2026 0.6415
2 Cs 0.4389 0.7974 0.0000
3 Cs 0.5611 0.5611 0.3585
4 Cs 0.7974 0.4389 0.0000
5 Hg 0.0000 0.0000 0.0000
6 Pb 0.0131 0.0131 0.7180
7 Pb 0.2950 0.2950 0.2820
8 Pb 0.7050 0.9869 0.0000
9 Pb 0.9869 0.7050 0.0000

Output
E	-18.1	eV/cell
density of states at the Fermi level	9.13	states/eV per cell
ΔE_f	0.06	eV/atom

---

A plane-wave DFT calculation with GGA-PBE was carried out for an optimized crystal structure of Cs3HgPb4.

Cell: 7.4262 14.4123 7.1554 Å, 90.00 90.00 90.00°
Positions (direct):
1 Cs 0.2500 0.0019 0.1894
2 Cs 0.2500 0.2500 0.5571
3 Cs 0.2500 0.4981 0.1894
4 Cs 0.7500 0.5019 0.8106
5 Cs 0.7500 0.7500 0.4429
6 Cs 0.7500 0.9981 0.8106
7 Hg 0.2500 0.7500 0.2940
8 Hg 0.7500 0.2500 0.7060
9 Pb 0.0119 0.2500 0.0478
10 Pb 0.2500 0.6392 0.6910
11 Pb 0.2500 0.8608 0.6910
12 Pb 0.4881 0.2500 0.0478
13 Pb 0.5119 0.7500 0.9522
14 Pb 0.7500 0.1392 0.3090
15 Pb 0.7500 0.3608 0.3090
16 Pb 0.9881 0.7500 0.9522

Output
E	-38.9	eV/cell
density of states at the Fermi level	4.04	states/eV per cell
ΔE_f	-0.22	eV/atom

---

A plane-wave DFT calculation with GGA-PBE was carried out for an optimized crystal structure of Cs2HgPb7.

Cell: 5.3322 5.3322 13.7065 Å, 90.00 90.00 90.00°
Positions (direct):
1 Cs 0.0000 0.5000 0.2455
2 Cs 0.5000 0.0000 0.7545
3 Hg 0.5000 0.5000 0.0000
4 Pb 0.0000 0.0000 0.0000
5 Pb 0.0000 0.0000 0.5000
6 Pb 0.0000 0.5000 0.6344
7 Pb 0.0000 0.5000 0.8753
8 Pb 0.5000 0.0000 0.1247
9 Pb 0.5000 0.0000 0.3656
10 Pb 0.5000 0.5000 0.5000

Output
E	-29.0	eV/cell
density of states at the Fermi level	4.59	states/eV per cell
ΔE_f	-0.11	eV/atom

---

A plane-wave DFT calculation with GGA-PBE was carried out for an optimized crystal structure of CsHg2Pb6.

Cell: 5.0645 5.0645 11.9367 Å, 90.00 90.00 90.00°
Positions (direct):
1 Cs 0.0000 0.0000 0.0000
2 Hg 0.5000 0.5000 0.1254
3 Hg 0.5000 0.5000 0.8746
4 Pb 0.0000 0.0000 0.5000
5 Pb 0.0000 0.5000 0.2959
6 Pb 0.0000 0.5000 0.7041
7 Pb 0.5000 0.0000 0.2959
8 Pb 0.5000 0.0000 0.7041
9 Pb 0.5000 0.5000 0.5000

Output
E	-24.4	eV/cell
density of states at the Fermi level	5.24	states/eV per cell
ΔE_f	-0.07	eV/atom
energy above the lowest structure with this stoichiometry	0.00	kcal/mol of atoms

---

A plane-wave DFT calculation with GGA-PBE was carried out for an optimized crystal structure of Cs3Hg4Pb4.

Cell: 5.1981 5.9080 15.2507 Å, 100.35 99.73 90.01°
Positions (direct):
1 Cs 0.0000 0.0000 0.0000
2 Cs 0.3519 0.8563 0.7054
3 Cs 0.6481 0.1437 0.2946
4 Hg 0.1018 0.5897 0.2022
5 Hg 0.2522 0.1847 0.5056
6 Hg 0.7478 0.8153 0.4944
7 Hg 0.8982 0.4103 0.7978
8 Pb 0.2049 0.6261 0.4082
9 Pb 0.4502 0.4064 0.9024
10 Pb 0.5498 0.5936 0.0976
11 Pb 0.7951 0.3739 0.5918

Output
E	-20.0	eV/cell
density of states at the Fermi level	5.04	states/eV per cell
ΔE_f	-0.13	eV/atom

---

A plane-wave DFT calculation with GGA-PBE was carried out for an optimized crystal structure of Cs2Hg6Pb3.

Cell: 9.3478 9.3478 4.7029 Å, 90.00 90.00 97.23°
Positions (direct):
1 Cs 0.2112 0.7888 0.0000
2 Cs 0.7888 0.2112 0.0000
3 Hg 0.1180 0.1180 0.5000
4 Hg 0.1423 0.4536 0.5000
5 Hg 0.4536 0.1423 0.5000
6 Hg 0.5464 0.8577 0.5000
7 Hg 0.8577 0.5464 0.5000
8 Hg 0.8820 0.8820 0.5000
9 Pb 0.3082 0.3082 0.0000
10 Pb 0.5000 0.5000 0.5000
11 Pb 0.6918 0.6918 0.0000

Output
E	-16.0	eV/cell
density of states at the Fermi level	3.34	states/eV per cell
ΔE_f	-0.12	eV/atom

---

A plane-wave DFT calculation with GGA-PBE was carried out for an optimized crystal structure of Cs3HgPb6.

Cell: 7.8656 7.8656 8.3701 Å, 103.01 103.01 57.61°
Positions (direct):
1 Cs 0.0000 0.0000 0.0000
2 Cs 0.4989 0.4989 0.2665
3 Cs 0.5011 0.5011 0.7335
4 Hg 0.0000 0.0000 0.5000
5 Pb 0.0428 0.4493 0.8167
6 Pb 0.2086 0.2086 0.4312
7 Pb 0.4493 0.0428 0.8167
8 Pb 0.5507 0.9572 0.1833
9 Pb 0.7914 0.7914 0.5688
10 Pb 0.9572 0.5507 0.1833

Output
E	-25.7	eV/cell
density of states at the Fermi level	5.00	states/eV per cell
ΔE_f	-0.06	eV/atom

---

A plane-wave DFT calculation with GGA-PBE was carried out for an optimized crystal structure of Cs8Hg6Pb.

Cell: 10.5313 10.5313 10.5313 Å, 60.24 60.24 60.24°
Positions (direct):
1 Cs 0.0655 0.7168 0.3868
2 Cs 0.1663 0.1663 0.1663
3 Cs 0.2832 0.6132 0.9345
4 Cs 0.3868 0.0655 0.7168
5 Cs 0.6132 0.9345 0.2832
6 Cs 0.7168 0.3868 0.0655
7 Cs 0.8337 0.8337 0.8337
8 Cs 0.9345 0.2832 0.6132
9 Hg 0.1617 0.4605 0.7535
10 Hg 0.2465 0.8383 0.5395
11 Hg 0.4605 0.7535 0.1617
12 Hg 0.5395 0.2465 0.8383
13 Hg 0.7535 0.1617 0.4605
14 Hg 0.8383 0.5395 0.2465
15 Pb 0.5000 0.5000 0.5000

Output
E	-14.8	eV/cell
density of states at the Fermi level	9.89	states/eV per cell
ΔE_f	-0.16	eV/atom

---

A plane-wave DFT calculation with GGA-PBE was carried out for an optimized crystal structure of CsHg2Pb4.

Cell: 9.6119 9.6119 5.1567 Å, 90.00 90.00 148.18°
Positions (direct):
1 Cs 0.0000 0.0000 0.0000
2 Hg 0.4180 0.5820 0.5000
3 Hg 0.5820 0.4180 0.5000
4 Pb 0.1926 0.8074 0.5000
5 Pb 0.3062 0.6938 0.0000
6 Pb 0.6938 0.3062 0.0000
7 Pb 0.8074 0.1926 0.5000

Output
E	-17.0	eV/cell
density of states at the Fermi level	2.75	states/eV per cell
ΔE_f	-0.10	eV/atom
energy above the lowest structure with this stoichiometry	0.00	kcal/mol of atoms

---

A plane-wave DFT calculation with GGA-PBE was carried out for an optimized crystal structure of Cs2Hg2Pb.

Cell: 8.3469 8.3469 6.1205 Å, 90.00 90.00 90.00°
Positions (direct):
1 Cs 0.1752 0.3248 0.0000
2 Cs 0.3248 0.8248 0.0000
3 Cs 0.6752 0.1752 0.0000
4 Cs 0.8248 0.6752 0.0000
5 Hg 0.1400 0.6400 0.5000
6 Hg 0.3600 0.1400 0.5000
7 Hg 0.6400 0.8600 0.5000
8 Hg 0.8600 0.3600 0.5000
9 Pb 0.0000 0.0000 0.5000
10 Pb 0.5000 0.5000 0.5000

Output
E	-13.6	eV/cell
density of states at the Fermi level	1.73	states/eV per cell
ΔE_f	-0.15	eV/atom
energy above the lowest structure with this stoichiometry	1.60	kcal/mol of atoms

---

A plane-wave DFT calculation with GGA-PBE was carried out for an optimized crystal structure of Cs2Hg2Pb3.

Cell: 7.4220 7.4220 9.8526 Å, 121.94 121.94 38.80°
Positions (direct):
1 Cs 0.1170 0.1170 0.2599
2 Cs 0.8830 0.8830 0.7401
3 Hg 0.1522 0.1522 0.6879
4 Hg 0.8478 0.8478 0.3121
5 Pb 0.3424 0.3424 0.0570
6 Pb 0.5000 0.5000 0.5000
7 Pb 0.6576 0.6576 0.9430

Output
E	-14.4	eV/cell
density of states at the Fermi level	3.78	states/eV per cell
ΔE_f	-0.14	eV/atom

---

A plane-wave DFT calculation with GGA-PBE was carried out for an optimized crystal structure of Cs3Hg5Pb2.

Cell: 11.2288 11.2288 11.2288 Å, 113.51 81.60 138.34°
Positions (direct):
1 Cs 0.1203 0.7200 0.8403
2 Cs 0.2500 0.2500 0.0000
3 Cs 0.3797 0.2200 0.5997
4 Cs 0.6203 0.7800 0.4003
5 Cs 0.7500 0.7500 0.0000
6 Cs 0.8797 0.2800 0.1597
7 Hg 0.0285 0.2500 0.7785
8 Hg 0.1492 0.4094 0.5587
9 Hg 0.2500 0.7500 0.5000
10 Hg 0.3508 0.9094 0.2602
11 Hg 0.4715 0.2500 0.2215
12 Hg 0.5285 0.7500 0.7785
13 Hg 0.6492 0.0906 0.7398
14 Hg 0.7500 0.2500 0.5000
15 Hg 0.8508 0.5906 0.4413
16 Hg 0.9715 0.7500 0.2215
17 Pb 0.1593 0.1598 0.3191
18 Pb 0.3407 0.6598 0.0004
19 Pb 0.6593 0.3402 0.9996
20 Pb 0.8407 0.8402 0.6809

Output
E	-25.1	eV/cell
density of states at the Fermi level	15.67	states/eV per cell
ΔE_f	-0.11	eV/atom

---

A plane-wave DFT calculation with GGA-PBE was carried out for an optimized crystal structure of CsHg6Pb2.

Cell: 8.5479 8.5479 5.0593 Å, 106.95 106.95 63.67°
Positions (direct):
1 Cs 0.0000 0.0000 0.0000
2 Hg 0.0070 0.6045 0.3053
3 Hg 0.3297 0.6703 0.5000
4 Hg 0.3955 0.9930 0.6947
5 Hg 0.6045 0.0070 0.3053
6 Hg 0.6703 0.3297 0.5000
7 Hg 0.9930 0.3955 0.6947
8 Pb 0.3783 0.3783 0.8831
9 Pb 0.6217 0.6217 0.1169

Output
E	-10.7	eV/cell
density of states at the Fermi level	2.45	states/eV per cell
ΔE_f	-0.07	eV/atom

---

A plane-wave DFT calculation with GGA-PBE was carried out for an optimized crystal structure of Cs2Hg2Pb.

Cell: 7.4214 7.4214 5.2931 Å, 110.85 110.85 55.22°
Positions (direct):
1 Cs 0.1937 0.1937 0.1934
2 Cs 0.8063 0.8063 0.8066
3 Hg 0.2512 0.7488 0.5000
4 Hg 0.7488 0.2512 0.5000
5 Pb 0.5000 0.5000 0.0000

Output
E	-7.1	eV/cell
density of states at the Fermi level	2.19	states/eV per cell
ΔE_f	-0.22	eV/atom
energy above the lowest structure with this stoichiometry	0.00	kcal/mol of atoms

---

A plane-wave DFT calculation with GGA-PBE was carried out for an optimized crystal structure of CsHgPb.

Cell: 5.1540 5.1540 5.9623 Å, 90.00 90.00 120.00°
Positions (direct):
1 Cs 0.0000 0.0000 0.0000
2 Hg 0.6667 0.3333 0.5000
3 Pb 0.3333 0.6667 0.5000

Output
E	-5.2	eV/cell
density of states at the Fermi level	2.27	states/eV per cell
ΔE_f	-0.13	eV/atom
energy above the lowest structure with this stoichiometry	1.96	kcal/mol of atoms